(1)
## ZrAg2Os (PBE)

Data for crystalline ZrAg2Os at its relaxed geometry.

Cell: 5.363 5.363 5.363 Å, 137.31 137.43 61.87°
Fractional positions:
Zr 0.250 0.750 0.500
Os 0.750 0.250 0.500
Ag 0.000 0.000 0.000
Ag 0.500 0.500 0.000

Energy above the lowest structure with this stoichiometry: 0.02 eV per formula unit
DFT total energy: -25.17 eV/f.u.
E_form: 0.3 eV/f.u.
N(E_F): 0.502 states/eV per atom


(2)
## Pr3Ga (PBE)

Data for crystalline Pr3Ga at its relaxed geometry.

Cell: 3.892 5.426 6.811 Å, 113.47 106.60 90.00°
Fractional positions:
Ga 0.000 0.922 0.000
Pr 0.292 0.705 0.584
Pr 0.708 0.121 0.416
Pr 0.500 0.418 0.000

Energy above the lowest structure with this stoichiometry: 0.04 eV per formula unit
DFT total energy: -18.35 eV/f.u.
E_form: -1.0 eV/f.u.
N(E_F): 1.179 states/eV per atom


(3)
## Yb2InSn (PBE)

Data for crystalline Yb2InSn at its relaxed geometry.

Cell: 5.380 5.380 5.380 Å, 60.00 60.00 60.00°
Last column: magnetic moment on the atom in μB.
Fractional positions:
Yb 0.250 0.250 0.250  -0.14
Yb 0.750 0.750 0.750  -0.14
Sn 0.000 0.000 0.000  0.00
In 0.500 0.500 0.500  0.00

DFT total energy: -12.21 eV/f.u.
E_form: -2.4 eV/f.u.
N(E_F): 6.287 states/eV per atom